Compound: LaTc3F
Source: Alexandria
Functional: PBEsol
Structure: optimized geometry

## Properties
Calculated volume: 103.3 Å³ per cell
Spin magnetization: 0.815 μB per atom
Mass density: 7.264 g cm⁻³
Raw formation energy: 11.4 eV/f.u.
Symmetry: Pm-3m, No. 221

```
LaTc3F
1.0
4.6923 0.0000 0.0000
0.0000 4.6923 0.0000
0.0000 0.0000 4.6923
Tc La F
3 1 1
Direct
0.0000 0.5000 0.0000
0.5000 0.0000 0.0000
0.0000 0.0000 0.5000
0.0000 0.0000 0.0000
0.5000 0.5000 0.5000
```

=====

Compound: SrBe2In
Source: Alexandria
Functional: PBEsol
Structure: optimized geometry

## Properties
E_form: 1.953 eV per formula unit
Calculated volume: 77.8 Å³ per cell
Spin magnetization: 0.000 μB per atom
Mass density: 4.704 g cm⁻³
Symmetry: F-43m, No. 216

```
SrBe2In
1.0
4.7924 0.0000 0.0000
2.3962 4.1503 0.0000
2.3962 1.3834 3.9129
Sr In Be
1 1 2
Direct
0.2500 0.2500 0.2500
0.5000 0.5000 0.5000
0.0000 0.0000 0.0000
0.7500 0.7500 0.7500
```

=====

Compound: Co3Ir
Source: Alexandria
Functional: PBEsol
Structure: optimized geometry

## Properties
E_form: 0.312 eV per formula unit
Calculated volume: 46.3 Å³ per cell
Spin magnetization: 1.241 μB per atom
Mass density: 13.223 g cm⁻³
Symmetry: P-6m2, No. 187

```
Co3Ir
1.0
-2.3291 -1.0661 0.3102
2.0610 -1.0465 1.1468
-1.2517 4.6145 6.4606
Co Ir
3 1
Direct
0.3333 0.6667 0.2381
0.3333 0.6667 0.7619
0.0000 0.0000 0.0000
0.0000 0.0000 0.5000
```

=====

Compound: AlTc4Br
Source: Alexandria
Functional: PBEsol
Structure: optimized geometry

## Properties
Calculated volume: 95.1 Å³ per cell
Spin magnetization: 0.000 μB per atom
Mass density: 8.714 g cm⁻³
Raw formation energy: 4.6 eV/f.u.
Symmetry: F-43m, No. 216

```
AlTc4Br
1.0
-2.8104 -3.4196 -2.5792
1.7403 -4.7735 -0.6553
-2.2101 -3.8960 2.4861
Br Tc Al
1 4 1
Direct
0.0000 0.0000 0.0000
0.3742 0.8775 0.3742
0.8775 0.3742 0.3742
0.3742 0.3742 0.8775
0.3742 0.3742 0.3742
0.7500 0.7500 0.7500
```

=====

Compound: LiAl
Source: Alexandria
Functional: PBEsol
Structure: optimized geometry

## Properties
E_form: -0.166 eV per formula unit
Calculated volume: 61.5 Å³ per cell
Spin magnetization: 0.000 μB per atom
Mass density: 1.832 g cm⁻³
Symmetry: Imma, No. 74

```
LiAl
1.0
3.2679 0.0000 0.0000
0.0000 4.3747 0.0000
-1.6340 -2.1873 4.3025
Li Al
2 2
Direct
0.3704 0.1204 0.7408
0.6296 0.8796 0.2592
0.8789 0.6289 0.7578
0.1211 0.3711 0.2422
```

=====

Compound: YZrCd
Source: Alexandria
Functional: PBEsol
Structure: optimized geometry

## Properties
E_form: 2.670 eV per formula unit
Calculated volume: 83.4 Å³ per cell
Spin magnetization: 0.488 μB per atom
Mass density: 5.828 g cm⁻³
Symmetry: F-43m, No. 216

```
YZrCd
1.0
-2.9439 -3.9204 -0.0707
1.7311 -4.3901 1.3311
-1.4673 -2.0402 4.2102
Cd Y Zr
1 1 1
Direct
0.5000 0.5000 0.5000
0.2500 0.2500 0.2500
0.0000 0.0000 0.0000
```

=====

Compound: SrBSe3
Source: Alexandria
Functional: PBEsol
Structure: optimized geometry

## Properties
Calculated volume: 100.1 Å³ per cell
Spin magnetization: 0.000 μB per atom
Mass density: 5.560 g cm⁻³
Raw formation energy: -1.6 eV/f.u.
Symmetry: Pm-3m, No. 221

```
SrBSe3
1.0
4.6437 0.0000 0.0000
0.0000 4.6437 0.0000
0.0000 0.0000 4.6437
Se Sr B
3 1 1
Direct
0.0000 0.0000 0.5000
0.0000 0.5000 0.0000
0.5000 0.0000 0.0000
0.5000 0.5000 0.5000
0.0000 0.0000 0.0000
```

=====

Compound: GdAsO4
Source: Alexandria
Functional: PBEsol
Structure: optimized geometry

## Properties
Relative energy among the computed polymorphs: 0 meV/atom
Calculated volume: 143.6 Å³ per cell
Spin magnetization: 1.160 μB per atom
Mass density: 6.849 g cm⁻³
Raw formation energy: -14.2 eV/f.u.
Symmetry: I4_1/a, No. 88

```
GdAsO4
1.0
-2.3300 -4.4732 0.0894
4.3996 -2.3091 -0.8706
-0.1253 3.0285 5.9486
Gd O As
2 8 2
Direct
0.5000 0.5000 0.0000
0.7500 0.2500 0.5000
0.1825 0.5799 0.6598
0.3300 0.9325 0.1598
0.4201 0.5227 0.3402
0.7727 0.6700 0.8402
0.8299 0.2273 0.1598
0.4773 0.0800 0.6598
0.9200 0.8175 0.3402
0.0675 0.1701 0.8402
0.2500 0.7500 0.5000
0.0000 0.0000 0.0000
```